Computed, not measured: crystalline LiTb3Te4 at its relaxed geometry at the PBE level of DFT.

Cell and atoms, written as extended XYZ:
```
8
Lattice="-4.947 -3.475 -1.168 1.718 -3.931 4.418 -1.620 6.922 2.497" Properties=species:S:1:pos:R:3 pbc="T T T"
Tb -1.614 -3.703 1.625
Te -1.570 1.562 2.000
Te -3.279 -2.046 3.746
Te -2.375 1.253 6.331
Li -4.849 -0.484 5.746
Te -5.708 1.481 3.538
Tb -4.091 -0.128 1.477
Tb -0.758 -0.356 4.270
```

Values from the calculation:
Formation energy from raw total energies in kJ/mol of formula units: -1021
SG: I4/mmm (139)
Polymorph energy (0 for the lowest one) in meV/atom: 0